A plane-wave DFT calculation with GGA-PBEsol was carried out for Dy2Ni2Sn after structural relaxation.

Results
Its space group is Immm, No. 71. The calculation puts the volume at 95.3 Å³ per cell. For the formation energy from the elements, the calculation gives -0.616 eV per atom. The value obtained for the energy is -29.6 eV/cell.

The structure in extended XYZ format:
```
5
Lattice="-2.428 -0.336 3.395 2.396 -2.611 4.036 1.777 2.921 4.142" Properties=species:S:1:pos:R:3 pbc="T T T"
Ni 1.004 -1.184 5.765
Ni 0.742 1.157 5.810
Sn 0.000 0.000 0.000
Dy 0.995 -0.051 8.453
Dy 0.751 0.024 3.121
```

A plane-wave DFT calculation with GGA-PBEsol was carried out for Dy2Ni2Sn after structural relaxation.

Results
Its space group is P4/mbm, No. 127. The calculation puts the volume at 188.8 Å³ per cell. For the formation energy from the elements, the calculation gives -0.623 eV per atom. The value obtained for the energy is -59.3 eV/cell.

The structure in extended XYZ format:
```
10
Lattice="-2.485 1.097 -2.394 0.314 -6.429 -3.272 -5.242 -2.453 4.317" Properties=species:S:1:pos:R:3 pbc="T T T"
Ni -2.978 -7.176 -0.198
Ni -0.438 -4.286 -1.510
Ni -4.491 -4.596 2.555
Ni -1.951 -1.706 1.243
Sn -2.464 -4.441 0.522
Sn 0.000 0.000 0.000
Dy -4.726 -2.232 1.144
Dy -2.688 -5.553 -2.494
Dy -5.356 -5.815 0.156
Dy -2.058 -1.970 -1.505
```

A plane-wave DFT calculation with GGA-PBEsol was carried out for DyNiSn4 after structural relaxation.

Results
Its space group is Cmmm, No. 65. The calculation puts the volume at 269.3 Å³ per cell. For the formation energy from the elements, the calculation gives -0.406 eV per atom. The value obtained for the energy is -61.2 eV/cell.

The structure in extended XYZ format:
```
12
Lattice="-3.036 1.571 -2.674 0.266 -3.656 -2.450 -8.504 -6.779 9.194" Properties=species:S:1:pos:R:3 pbc="T T T"
Dy -7.536 -4.721 2.260
Dy -3.738 -4.143 1.810
Ni -2.560 0.162 -0.520
Ni -8.980 -5.370 7.040
Sn -3.568 -2.348 -0.851
Sn -7.707 -6.516 4.921
Sn -5.815 -1.784 2.032
Sn -5.725 -3.424 4.488
Sn -9.345 -3.895 4.799
Sn -2.195 -1.313 1.721
Sn 0.000 0.000 0.000
Sn -1.385 -1.042 -2.562
```

Which of these has the lowest volume? number 1